Density functional theory data (PBE+U) for a geometry-optimized Mn2SnAsO6 structure.

a = 5.395 Å, b = 5.395 Å, c = 5.676 Å
α = 61.63°, β = 61.62°, γ = 60.00°
Each line ends with the local moment (μB).
Element x y z (fractional)
O: 0.435 0.694 0.764  -0.01
O: 0.694 0.106 0.764  -0.01
O: 0.956 0.586 0.258  -0.02
O: 0.586 0.201 0.258  -0.02
O: 0.201 0.956 0.258  -0.02
O: 0.106 0.435 0.764  -0.01
Mn: 0.528 0.528 0.416  4.62
Mn: 0.030 0.030 0.909  4.61
As: 0.312 0.312 0.063  -0.09
Sn: 0.813 0.813 0.562  0.00

E in eV per atom: -6.744
Size of the total moment in μB per cell: 9.442
Symmetry: R3